Entry 1:
LiTaIn2 PBE relaxed; distance to the lowest polymorph of the same formula = 0.229 eV/atom; calculated volume = 79.2 Å³ per cell; calculated total energy = -4.577 eV/atom
1.0
5.6527 0.0002 0.0000
2.7818 4.9209 0.0000
-4.2172 -2.4605 2.8485
In Li Ta
2 1 1
Cartesian
0.0000 0.0000 0.0000 In
1.3909 2.4604 1.4242 In
4.2172 2.4605 0.0000 Li
2.8264 0.0001 1.4242 Ta


Entry 2:
LiTaIn2 PBE relaxed; distance to the lowest polymorph of the same formula = 0.243 eV/atom; calculated volume = 77.9 Å³ per cell; calculated total energy = -4.563 eV/atom
1.0
-3.6483 -3.4979 -1.3061
0.4016 -1.0709 -5.0934
3.5522 0.0377 3.8252
In Li Ta
2 1 1
Cartesian
-3.2466 -4.5686 -6.3993 In
-1.6235 -2.2846 -3.2000 In
-0.8598 -2.8723 -0.3403 Li
1.1652 -1.6588 -2.2340 Ta


Entry 3:
LiTaIn2 PBE relaxed; distance to the lowest polymorph of the same formula = 0.240 eV/atom; calculated volume = 83.6 Å³ per cell; calculated total energy = -4.567 eV/atom
1.0
-0.4454 -6.1279 8.1771
2.4436 -5.0729 8.5387
0.0505 -3.4397 9.6323
In Li Ta
2 1 1
Cartesian
2.0432 -14.6022 26.2792 In
1.5427 -11.0251 19.8417 In
1.0251 -7.3258 13.1842 Li
0.5104 -3.6479 6.5651 Ta


Entry 4:
LiTaIn2 PBE relaxed; distance to the lowest polymorph of the same formula = 0.058 eV/atom; calculated volume = 77.2 Å³ per cell; calculated total energy = -4.749 eV/atom
1.0
3.0081 0.0000 0.0000
0.0000 3.9471 0.0000
0.0000 0.0000 6.5047
In Li Ta
2 1 1
Cartesian
0.0000 0.0000 0.0845 In
0.0000 0.0000 3.1679 In
1.5040 1.9735 1.6262 Li
1.5040 1.9735 4.8785 Ta